# 1
Material: ScCdSi
Method: DFT, GGA-PBE
State: relaxed

Geometry as extended XYZ:
```
3
Lattice="-1.5817 1.5817 5.9520 1.5817 -1.5817 5.9520 1.5817 1.5817 -5.9520" Properties=species:S:1:pos:R:3 pbc="T T T"
Sc 0.0000 0.0000 0.0000
Cd 0.0000 0.0000 3.6609
Si 0.0000 0.0000 7.6429
```

Values from the calculation:
**ΔE_f (raw)**: -2.8 kcal/mol of atoms
**SG**: I4mm, No. 107
**Total energy**: -4.34 eV per atom

# 2
Material: Sc2CdSiTc
Method: DFT, GGA-PBE
State: relaxed

Geometry as extended XYZ:
```
5
Lattice="4.8602 0.0000 0.0000 0.0000 4.8602 0.0000 0.0000 0.0000 5.1863" Properties=species:S:1:pos:R:3 pbc="T T T"
Sc 0.0000 2.4301 0.0000
Sc 2.4301 0.0000 0.0000
Cd 0.0000 0.0000 2.5932
Si 2.4301 2.4301 2.5932
Tc 0.0000 0.0000 0.0000
```

Values from the calculation:
**ΔE_f (raw)**: 12.7 kcal/mol of atoms
**SG**: P4/mmm, No. 123
**Total energy**: -5.32 eV per atom